#P
Here is ThH2Ru after structural relaxation from Alexandria via LeMat-Bulk. Energies are from PBE.

The structure in extended XYZ format:
```
16
Lattice="3.794 0.000 0.000 0.000 12.902 0.000 0.000 0.000 4.217" Properties=species:S:1:pos:R:3 pbc="T T T"
Th 0.000 1.891 1.054
Th 0.000 11.012 3.163
Th 1.897 4.561 3.163
Th 1.897 8.342 1.054
H 0.000 0.705 3.163
H 0.000 3.127 3.163
H 0.000 9.775 1.054
H 0.000 12.197 1.054
H 1.897 3.324 1.054
H 1.897 5.746 1.054
H 1.897 7.156 3.163
H 1.897 9.578 3.163
Ru 0.000 5.687 1.054
Ru 0.000 7.215 3.163
Ru 1.897 0.764 3.163
Ru 1.897 12.138 1.054
```

## Properties
Space-group type: Cmcm
ρ, g/cm³: 10.785
Density of states at the Fermi level, states/eV/f.u.: 2.00
Magnetization, μB/f.u.: 0.0

---

#Q
Here is ThH2Ru after structural relaxation from Alexandria via LeMat-Bulk. Energies are from PBE.

The structure in extended XYZ format:
```
12
Lattice="4.162 0.000 0.000 -2.081 3.605 0.000 0.000 0.000 10.930" Properties=species:S:1:pos:R:3 pbc="T T T"
Th 0.000 0.000 0.000
Th 0.000 2.403 7.287
Th 2.081 1.202 3.643
H 0.000 0.000 3.747
H 0.000 0.000 7.183
H 0.000 2.403 0.104
H 0.000 2.403 3.540
H 2.081 1.202 7.390
H 2.081 1.202 10.826
Ru 0.000 0.000 5.465
Ru 0.000 2.403 1.822
Ru 2.081 1.202 9.108
```

## Properties
Space-group type: R-3m
ρ, g/cm³: 10.180
Density of states at the Fermi level, states/eV/f.u.: 0.20
Magnetization, μB/f.u.: 0.0

---

Most stable = #Q

---

#P
Here is TiH4Ru after structural relaxation from Alexandria via LeMat-Bulk. Energies are from PBE.

The structure in extended XYZ format:
```
12
Lattice="1.533 -6.729 0.000 1.533 6.729 0.000 0.000 0.000 4.366" Properties=species:S:1:pos:R:3 pbc="T T T"
Ti 1.533 4.314 3.274
Ti 1.533 -4.314 1.091
H 1.533 6.172 1.091
H 1.533 2.696 0.005
H 1.533 2.696 2.178
H 1.533 0.000 0.000
H 1.533 0.000 2.183
H 1.533 -2.696 2.188
H 1.533 -2.696 4.361
H 1.533 -6.172 3.274
Ru 1.533 1.302 3.274
Ru 1.533 -1.302 1.091
```

## Properties
Space-group type: Cmcm
ρ, g/cm³: 5.640
Density of states at the Fermi level, states/eV/f.u.: 1.62
Magnetization, μB/f.u.: 0.0

---

#Q
Here is TiH4Ru after structural relaxation from Alexandria via LeMat-Bulk. Energies are from PBE.

The structure in extended XYZ format:
```
12
Lattice="-2.162 2.162 4.411 2.162 -2.162 4.411 2.162 2.162 -4.411" Properties=species:S:1:pos:R:3 pbc="T T T"
Ti 2.162 1.081 1.103
Ti 0.000 1.081 3.308
H 1.039 0.000 0.000
H 3.284 0.000 0.000
H 1.081 2.120 -2.205
H 1.081 -0.041 2.205
H 1.039 2.162 0.000
H 1.122 0.000 4.411
H -1.081 2.203 2.205
H 1.081 2.203 2.205
Ru 2.162 -1.081 3.308
Ru 0.000 3.243 1.103
```

## Properties
Space-group type: I4_1/amd
ρ, g/cm³: 6.161
Density of states at the Fermi level, states/eV/f.u.: 3.09
Magnetization, μB/f.u.: 0.0

---

Most stable = #Q

---

#P
Here is TiH2Ru2 after structural relaxation from Alexandria via LeMat-Bulk. Energies are from PBE.

The structure in extended XYZ format:
```
10
Lattice="5.688 0.000 0.000 0.000 5.688 0.000 0.000 0.000 3.148" Properties=species:S:1:pos:R:3 pbc="T T T"
Ti 0.000 0.000 0.000
Ti 2.844 2.844 0.000
H 1.272 1.572 0.000
H 1.572 4.415 0.000
H 4.116 1.272 0.000
H 4.415 4.116 0.000
Ru 0.945 3.789 1.574
Ru 1.899 0.945 1.574
Ru 3.789 4.742 1.574
Ru 4.742 1.899 1.574
```

## Properties
Space-group type: P4/mbm
ρ, g/cm³: 8.220
Density of states at the Fermi level, states/eV/f.u.: 2.02
Magnetization, μB/f.u.: 0.0

---

#Q
Here is TiH2Ru2 after structural relaxation from Alexandria via LeMat-Bulk. Energies are from PBE.

The structure in extended XYZ format:
```
10
Lattice="3.062 0.000 0.000 0.000 3.062 0.000 0.000 0.000 10.594" Properties=species:S:1:pos:R:3 pbc="T T T"
Ti 0.000 0.000 0.000
Ti 1.531 1.531 5.297
H 0.000 1.531 2.648
H 0.000 1.531 7.945
H 1.531 0.000 2.648
H 1.531 0.000 7.945
Ru 0.000 0.000 3.794
Ru 0.000 0.000 6.800
Ru 1.531 1.531 1.503
Ru 1.531 1.531 9.091
```

## Properties
Space-group type: I4/mmm
ρ, g/cm³: 8.429
Density of states at the Fermi level, states/eV/f.u.: 2.03
Magnetization, μB/f.u.: 0.0

---

Most stable = #Q

---

#P
Here is TiHRu3 after structural relaxation from Alexandria via LeMat-Bulk. Energies are from PBE.

The structure in extended XYZ format:
```
5
Lattice="4.552 0.000 0.000 0.000 4.552 0.000 0.000 0.000 4.552" Properties=species:S:1:pos:R:3 pbc="T T T"
Ti 0.000 0.000 0.000
H 2.276 2.276 2.276
Ru 0.000 0.000 2.276
Ru 0.000 2.276 0.000
Ru 2.276 0.000 0.000
```

## Properties
Space-group type: Pm-3m
ρ, g/cm³: 6.200
Density of states at the Fermi level, states/eV/f.u.: 5.70
Magnetization, μB/f.u.: 4.0

---

#Q
Here is TiHRu3 after structural relaxation from Alexandria via LeMat-Bulk. Energies are from PBE.

The structure in extended XYZ format:
```
10
Lattice="3.890 -3.917 0.000 3.890 3.917 0.000 -3.889 0.000 3.895" Properties=species:S:1:pos:R:3 pbc="T T T"
Ti 3.890 2.062 0.000
Ti 3.890 -2.062 0.000
H 3.890 0.000 0.000
H 1.945 0.000 1.947
Ru 1.945 1.997 1.947
Ru -0.022 0.000 1.940
Ru -1.952 0.000 3.870
Ru 5.843 0.000 0.025
Ru 3.913 0.000 1.955
Ru 1.945 -1.997 1.947
```

## Properties
Space-group type: C2/m
ρ, g/cm³: 9.852
Density of states at the Fermi level, states/eV/f.u.: 5.12
Magnetization, μB/f.u.: 0.0

---

Most stable = #Q

---

#P
Here is Ti3HRu after structural relaxation from Alexandria via LeMat-Bulk. Energies are from PBE.

The structure in extended XYZ format:
```
5
Lattice="4.722 0.000 0.000 0.000 4.722 0.000 0.000 0.000 4.722" Properties=species:S:1:pos:R:3 pbc="T T T"
Ti 0.000 0.000 2.361
Ti 0.000 2.361 0.000
Ti 2.361 0.000 0.000
H 2.361 2.361 2.361
Ru 0.000 0.000 0.000
```

## Properties
Space-group type: Pm-3m
ρ, g/cm³: 3.874
Density of states at the Fermi level, states/eV/f.u.: 3.81
Magnetization, μB/f.u.: 1.8

---

#Q
Here is Ti3HRu after structural relaxation from Alexandria via LeMat-Bulk. Energies are from PBE.

The structure in extended XYZ format:
```
5
Lattice="4.025 0.000 0.000 0.000 4.025 0.000 0.000 0.000 4.025" Properties=species:S:1:pos:R:3 pbc="T T T"
Ti 0.000 0.000 2.012
Ti 0.000 2.012 0.000
Ti 2.012 0.000 0.000
H 0.000 0.000 0.000
Ru 2.012 2.012 2.012
```

## Properties
Space-group type: Pm-3m
ρ, g/cm³: 6.258
Density of states at the Fermi level, states/eV/f.u.: 6.24
Magnetization, μB/f.u.: 0.0

---

Most stable = #Q

---

#P
Here is TiVHRu2 after structural relaxation from Alexandria via LeMat-Bulk. Energies are from PBE.

The structure in extended XYZ format:
```
5
Lattice="4.095 0.000 0.000 0.000 4.095 0.000 0.000 0.000 3.551" Properties=species:S:1:pos:R:3 pbc="T T T"
Ti 0.000 0.000 0.000
V 2.048 2.048 0.000
H 2.048 2.048 1.776
Ru 0.000 2.048 1.776
Ru 2.048 0.000 1.776
```

## Properties
Space-group type: P4/mmm
ρ, g/cm³: 8.418
Density of states at the Fermi level, states/eV/f.u.: 5.24
Magnetization, μB/f.u.: 1.0

---

#Q
Here is TiVHRu2 after structural relaxation from Alexandria via LeMat-Bulk. Energies are from PBE.

The structure in extended XYZ format:
```
5
Lattice="4.055 0.000 0.000 0.000 4.055 0.000 0.000 0.000 3.621" Properties=species:S:1:pos:R:3 pbc="T T T"
Ti 0.000 0.000 0.000
V 2.028 2.028 0.000
H 0.000 0.000 1.810
Ru 0.000 2.028 1.810
Ru 2.028 0.000 1.810
```

## Properties
Space-group type: P4/mmm
ρ, g/cm³: 8.420
Density of states at the Fermi level, states/eV/f.u.: 6.47
Magnetization, μB/f.u.: 0.0

---

Most stable = #P

---

#P
Here is TlH3Ru after structural relaxation from Alexandria via LeMat-Bulk. Energies are from PBE.

The structure in extended XYZ format:
```
5
Lattice="3.659 0.000 0.000 0.000 3.659 0.000 0.000 0.000 3.659" Properties=species:S:1:pos:R:3 pbc="T T T"
Tl 0.000 0.000 0.000
H 0.000 1.830 1.830
H 1.830 0.000 1.830
H 1.830 1.830 0.000
Ru 1.830 1.830 1.830
```

## Properties
Space-group type: Pm-3m
ρ, g/cm³: 10.455
Density of states at the Fermi level, states/eV/f.u.: 2.28
Magnetization, μB/f.u.: 0.0

---

#Q
Here is TlH3Ru after structural relaxation from Alexandria via LeMat-Bulk. Energies are from PBE.

The structure in extended XYZ format:
```
5
Lattice="3.876 0.000 0.000 0.000 3.876 0.000 0.000 0.000 3.876" Properties=species:S:1:pos:R:3 pbc="T T T"
Tl 0.000 0.000 0.000
H 0.000 0.000 1.938
H 0.000 1.938 0.000
H 1.938 0.000 0.000
Ru 1.938 1.938 1.938
```

## Properties
Space-group type: Pm-3m
ρ, g/cm³: 8.794
Density of states at the Fermi level, states/eV/f.u.: 2.63
Magnetization, μB/f.u.: 2.3

---

Most stable = #P

---

#P
Here is TlHRu3 after structural relaxation from Alexandria via LeMat-Bulk. Energies are from PBE.

The structure in extended XYZ format:
```
5
Lattice="5.066 0.000 0.000 0.000 5.066 0.000 0.000 0.000 5.066" Properties=species:S:1:pos:R:3 pbc="T T T"
Tl 0.000 0.000 0.000
H 2.533 2.533 2.533
Ru 0.000 0.000 2.533
Ru 0.000 2.533 0.000
Ru 2.533 0.000 0.000
```

## Properties
Space-group type: Pm-3m
ρ, g/cm³: 6.496
Density of states at the Fermi level, states/eV/f.u.: 5.29
Magnetization, μB/f.u.: 6.0

---

#Q
Here is TlHRu3 after structural relaxation from Alexandria via LeMat-Bulk. Energies are from PBE.

The structure in extended XYZ format:
```
5
Lattice="4.034 0.000 0.000 0.000 4.034 0.000 0.000 0.000 4.034" Properties=species:S:1:pos:R:3 pbc="T T T"
Tl 0.000 0.000 0.000
H 2.017 2.017 2.017
Ru 0.000 2.017 2.017
Ru 2.017 0.000 2.017
Ru 2.017 2.017 0.000
```

## Properties
Space-group type: Pm-3m
ρ, g/cm³: 12.861
Density of states at the Fermi level, states/eV/f.u.: 7.37
Magnetization, μB/f.u.: 1.4

---

Most stable = #Q